(1)
Rb4CePm3Te8, relaxed, DFT PBE; DOS at the Fermi energy = 8.71 states/eV per cell; formation energy without anion corrections = -22.198 eV per formula unit; DFT total energy = -4.462 eV per atom; space-group type = R-3m, No. 166
1.0
4.6435 2.6809 8.5622
-4.6435 2.6809 8.5622
0.0000 -5.3618 8.5622
Rb Ce Pm Te
4 1 3 8
Direct
0.0000 0.0000 0.0000 Rb
0.0000 0.5000 0.5000 Rb
0.5000 0.0000 0.5000 Rb
0.5000 0.5000 0.0000 Rb
0.5000 0.5000 0.5000 Ce
0.0000 0.0000 0.5000 Pm
0.0000 0.5000 0.0000 Pm
0.5000 0.0000 0.0000 Pm
0.2321 0.7360 0.7360 Te
0.2345 0.2345 0.2345 Te
0.2640 0.2640 0.7679 Te
0.2640 0.7679 0.2640 Te
0.7360 0.2321 0.7360 Te
0.7360 0.7360 0.2321 Te
0.7655 0.7655 0.7655 Te
0.7679 0.2640 0.2640 Te

=====

(2)
Rb3Ce2PmTe6, relaxed, DFT PBE; DOS at the Fermi energy = 12.48 states/eV per cell; formation energy without anion corrections = -16.331 eV per formula unit; DFT total energy = -4.558 eV per atom; space-group type = C2/m, No. 12
1.0
4.0449 -7.0066 0.0000
4.0449 7.0066 0.0000
-2.6964 0.0000 8.5446
Rb Ce Pm Te
3 2 1 6
Direct
0.0000 0.0000 0.0000 Rb
0.3332 0.6668 0.0000 Rb
0.6668 0.3332 0.0000 Rb
0.1667 0.8333 0.5000 Ce
0.8333 0.1667 0.5000 Ce
0.5000 0.5000 0.5000 Pm
0.1011 0.4320 0.2960 Te
0.2371 0.2371 0.7039 Te
0.4320 0.1011 0.2960 Te
0.5680 0.8989 0.7040 Te
0.7629 0.7629 0.2961 Te
0.8989 0.5680 0.7040 Te

=====

(3)
Rb3CePm3Te8, relaxed, DFT PBE; formation energy without anion corrections = -20.383 eV per formula unit; DFT total energy = -4.574 eV per atom; space-group type = R-3m, No. 166
1.0
4.5665 2.6365 8.7157
-4.5665 2.6365 8.7157
0.0000 -5.2729 8.7157
Rb Ce Pm Te
3 1 3 8
Direct
0.0000 0.5000 0.5000 Rb
0.5000 0.0000 0.5000 Rb
0.5000 0.5000 0.0000 Rb
0.5000 0.5000 0.5000 Ce
0.0000 0.0000 0.5000 Pm
0.0000 0.5000 0.0000 Pm
0.5000 0.0000 0.0000 Pm
0.2346 0.2346 0.2346 Te
0.2375 0.7306 0.7306 Te
0.2694 0.2694 0.7625 Te
0.2694 0.7625 0.2694 Te
0.7306 0.2375 0.7306 Te
0.7306 0.7306 0.2375 Te
0.7625 0.2694 0.2694 Te
0.7654 0.7654 0.7654 Te

=====

(4)
RbCe2PmTe4, relaxed, DFT PBE; DOS at the Fermi energy = 17.64 states/eV per cell; formation energy without anion corrections = -9.896 eV per formula unit; DFT total energy = -5.006 eV per atom; space-group type = P2/m, No. 10
1.0
8.0012 0.0000 0.0000
0.0000 4.4595 0.0000
-0.1889 0.0000 8.0571
Rb Ce Pm Te
1 2 1 4
Direct
0.0000 0.0000 0.0000 Rb
0.5000 0.0000 0.0000 Ce
0.5000 0.5000 0.5000 Ce
0.0000 0.5000 0.5000 Pm
0.2511 0.0000 0.3481 Te
0.2712 0.5000 0.8118 Te
0.7288 0.5000 0.1882 Te
0.7489 0.0000 0.6519 Te

=====

Q: The lowest formation energy without anion corrections belongs to which entry?
A: Rb4CePm3Te8

=====

Q: formation energy without anion corrections of number 1 (Rb4CePm3Te8)?
A: -22.198 eV per formula unit